[1]
# Sr2Zn | Alexandria | PBE | relaxed
data_Sr2Zn
_cell_length_a 7.584
_cell_length_b 7.584
_cell_length_c 9.535
_cell_angle_alpha 54.72
_cell_angle_beta 54.72
_cell_angle_gamma 32.97
_symmetry_space_group_name_H-M 'P 1'
_symmetry_Int_Tables_number 1
loop_
_symmetry_equiv_pos_as_xyz
'x,y,z'
loop_
_atom_site_label
_atom_site_type_symbol
_atom_site_fract_x
_atom_site_fract_y
_atom_site_fract_z
_atom_site_occupancy
Sr1 Sr 0.058 0.058 0.924 1
Sr2 Sr 0.298 0.298 0.388 1
Sr3 Sr 0.887 0.887 0.687 1
Sr4 Sr 0.647 0.647 0.223 1
Zn1 Zn 0.364 0.364 0.971 1
Zn2 Zn 0.580 0.580 0.640 1
# Final energy: -0.1228 Ry per atom
# Size of the total moment: 0.00 μB per atom

[2]
# Na2Al2Si3H4O12 | Alexandria | PBE | relaxed
data_Na2Al2Si3H4O12
_cell_length_a 6.642
_cell_length_b 9.853
_cell_length_c 9.994
_cell_angle_alpha 83.57
_cell_angle_beta 70.59
_cell_angle_gamma 70.30
_symmetry_space_group_name_H-M 'P 1'
_symmetry_Int_Tables_number 1
loop_
_symmetry_equiv_pos_as_xyz
'x,y,z'
loop_
_atom_site_label
_atom_site_type_symbol
_atom_site_fract_x
_atom_site_fract_y
_atom_site_fract_z
_atom_site_occupancy
Na1 Na 0.880 0.940 0.562 1
Na2 Na 0.383 0.060 0.438 1
Na3 Na 0.571 0.560 0.062 1
Na4 Na 0.193 0.440 0.938 1
H1 H 0.734 0.797 0.377 1
H2 H 0.861 0.297 0.123 1
H3 H 0.908 0.400 0.213 1
H4 H 0.908 0.203 0.623 1
H5 H 0.870 0.900 0.287 1
H6 H 0.520 0.600 0.787 1
H7 H 0.058 0.100 0.713 1
H8 H 0.281 0.703 0.877 1
O1 O 0.436 0.197 0.931 1
O2 O 0.766 0.139 0.048 1
O3 O 0.563 0.803 0.069 1
O4 O 0.024 0.109 0.622 1
O5 O 0.380 0.087 0.195 1
O6 O 0.175 0.048 0.863 1
O7 O 0.788 0.548 0.637 1
O8 O 0.383 0.303 0.431 1
O9 O 0.391 0.359 0.137 1
O10 O 0.953 0.861 0.952 1
O11 O 0.325 0.587 0.305 1
O12 O 0.887 0.641 0.863 1
O13 O 0.279 0.859 0.363 1
O14 O 0.500 0.141 0.637 1
O15 O 0.396 0.609 0.878 1
O16 O 0.662 0.913 0.805 1
O17 O 0.755 0.891 0.378 1
O18 O 0.217 0.413 0.695 1
O19 O 0.655 0.361 0.548 1
O20 O 0.973 0.452 0.363 1
O21 O 0.086 0.952 0.137 1
O22 O 0.564 0.639 0.452 1
O23 O 0.116 0.697 0.569 1
O24 O 0.883 0.391 0.122 1
Si1 Si 0.433 0.307 0.579 1
Si2 Si 0.998 0.000 0.000 1
Si3 Si 0.490 0.193 0.079 1
Si4 Si 0.318 0.693 0.421 1
Si5 Si 0.748 0.500 0.500 1
Si6 Si 0.761 0.807 0.921 1
Al1 Al 0.002 0.576 0.687 1
Al2 Al 0.328 0.924 0.187 1
Al3 Al 0.439 0.076 0.813 1
Al4 Al 0.265 0.424 0.313 1
# Final energy: -0.4885 Ry per atom
# Size of the total moment: 0.00 μB per atom